Record 1
Here is a geometry-optimized BiSbTe2I structure from the Alexandria database. Energies are from PBE-GGA.

- N(E_F) (states/eV per cell) = 9.5

```
data_BiSbTe2I
_chemical_formula_sum 'Bi1 Sb1 Te2 I1'
_cell_length_a 5.893
_cell_length_b 5.893
_cell_length_c 6.037
_cell_angle_alpha 90.00
_cell_angle_beta 90.00
_cell_angle_gamma 90.00
_symmetry_space_group_name_H-M 'P 4/m m m'
_symmetry_Int_Tables_number 123
_symmetry_space_group_name_Hall '-P 4 2'
loop_
_atom_site_label
_atom_site_type_symbol
_atom_site_fract_x
_atom_site_fract_y
_atom_site_fract_z
Bi1 Bi 0.000 0.000 0.000
Sb1 Sb 0.000 0.000 0.500
Te1 Te 0.000 0.500 0.000
I1 I 0.500 0.500 0.500
```



Record 2
Here is a geometry-optimized BiSbTe2I structure from the Alexandria database. Energies are from PBE-GGA.

- N(E_F) (states/eV per cell) = 6.7

```
data_BiSbTe2I
_chemical_formula_sum 'Bi1 Sb1 Te2 I1'
_cell_length_a 5.761
_cell_length_b 5.761
_cell_length_c 5.838
_cell_angle_alpha 90.00
_cell_angle_beta 90.00
_cell_angle_gamma 90.00
_symmetry_space_group_name_H-M 'P 4/m m m'
_symmetry_Int_Tables_number 123
_symmetry_space_group_name_Hall '-P 4 2'
loop_
_atom_site_label
_atom_site_type_symbol
_atom_site_fract_x
_atom_site_fract_y
_atom_site_fract_z
Bi1 Bi 0.000 0.000 0.000
Sb1 Sb 0.500 0.500 0.000
Te1 Te 0.000 0.500 0.500
I1 I 0.500 0.500 0.500
```



Record 3
Here is a geometry-optimized BiSbTe2I structure from the Alexandria database. Energies are from PBE-GGA.

- N(E_F) (states/eV per cell) = 3.5

```
data_BiSbTe2I
_chemical_formula_sum 'Bi1 Sb1 Te2 I1'
_cell_length_a 6.018
_cell_length_b 6.018
_cell_length_c 5.905
_cell_angle_alpha 90.00
_cell_angle_beta 90.00
_cell_angle_gamma 90.00
_symmetry_space_group_name_H-M 'P 4/m m m'
_symmetry_Int_Tables_number 123
_symmetry_space_group_name_Hall '-P 4 2'
loop_
_atom_site_label
_atom_site_type_symbol
_atom_site_fract_x
_atom_site_fract_y
_atom_site_fract_z
Bi1 Bi 0.000 0.000 0.000
Sb1 Sb 0.500 0.500 0.500
Te1 Te 0.000 0.500 0.000
I1 I 0.000 0.000 0.500
```



Results for raw total energy: -12.542 -11.248 -12.981 (in eV per cell, following the order of the records).
Results for raw formation energy: 0.6589 0.9178 0.5712 (in eV/atom, following the order of the records).